Computed, not measured: an optimized crystal structure of DyCdIn3 at the PBE level of DFT.

```
data_DyCdIn3
_chemical_formula_sum 'Dy4 Cd4 In12'
_cell_length_a 9.4062
_cell_length_b 11.1303
_cell_length_c 5.6626
_cell_angle_alpha 90.00
_cell_angle_beta 90.00
_cell_angle_gamma 90.00
_space_group_name_H-M_alt 'C m c m'
_space_group_IT_number 63
_space_group_name_Hall '-C 2c 2'
loop_
_atom_site_label
_atom_site_type_symbol
_atom_site_fract_x
_atom_site_fract_y
_atom_site_fract_z
Dy1 Dy 0.0000 0.2350 0.2500
Cd1 Cd 0.0000 0.0531 0.7500
In1 In 0.0000 0.5000 0.0000
In2 In 0.1726 0.2995 0.7500
```

Output
Energy of formation from the pure elements = -0.047 eV per atom
Total DFT energy (no corrections) = -2.79 eV per atom
Density = 6.9 g/cm³

***

Computed, not measured: an optimized crystal structure of FeTcSnPt2 at the PBE level of DFT.

```
data_FeTcSnPt2
_chemical_formula_sum 'Fe1 Tc1 Sn1 Pt2'
_cell_length_a 4.7542
_cell_length_b 4.7542
_cell_length_c 5.0070
_cell_angle_alpha 90.00
_cell_angle_beta 90.00
_cell_angle_gamma 90.00
_space_group_name_H-M_alt 'P 4/m m m'
_space_group_IT_number 123
_space_group_name_Hall '-P 4 2'
loop_
_atom_site_label
_atom_site_type_symbol
_atom_site_fract_x
_atom_site_fract_y
_atom_site_fract_z
Fe1 Fe 0.0000 0.0000 0.0000
Tc1 Tc 0.5000 0.5000 0.5000
Sn1 Sn 0.5000 0.5000 0.0000
Pt1 Pt 0.0000 0.5000 0.5000
```

Output
Energy of formation from the pure elements = 1.266 eV per atom
Total DFT energy (no corrections) = -5.72 eV per atom
Density = 9.7 g/cm³

***

Computed, not measured: an optimized crystal structure of AlRuBr2 at the PBE level of DFT.

```
data_AlRuBr2
_chemical_formula_sum 'Al1 Ru1 Br2'
_cell_length_a 4.7344
_cell_length_b 3.8205
_cell_length_c 7.2756
_cell_angle_alpha 90.00
_cell_angle_beta 108.75
_cell_angle_gamma 90.00
_space_group_name_H-M_alt 'P 1 2/m 1'
_space_group_IT_number 10
loop_
_space_group_symop_operation_xyz
'x,y,z'
'-x,-y,-z'
'-x,y,-z'
'x,-y,z'
loop_
_atom_site_label
_atom_site_type_symbol
_atom_site_fract_x
_atom_site_fract_y
_atom_site_fract_z
Al1 Al 0.0000 0.0000 0.0000
Ru1 Ru 0.5000 0.0000 0.0000
Br1 Br 0.3773 0.5000 0.7522
```

Output
Total DFT energy (no corrections) = -4.10 eV per atom
Energy relative to the elements, uncorrected = -0.013 eV/atom
ΔE to the lowest computed polymorph = 195 meV/atom
Density = 3.8 g/cm³

***

Computed, not measured: an optimized crystal structure of LaTb3Y at the PBE level of DFT.

```
data_LaTb3Y
_chemical_formula_sum 'La2 Tb6 Y2'
_cell_length_a 3.6658
_cell_length_b 11.6839
_cell_length_c 8.6394
_cell_angle_alpha 90.00
_cell_angle_beta 102.23
_cell_angle_gamma 90.00
_space_group_name_H-M_alt 'P 1 21/m 1'
_space_group_IT_number 11
loop_
_space_group_symop_operation_xyz
'x,y,z'
'-x,-y,-z'
'-x,y+1/2,-z'
'x,-y+1/2,z'
loop_
_atom_site_label
_atom_site_type_symbol
_atom_site_fract_x
_atom_site_fract_y
_atom_site_fract_z
La1 La 0.1920 0.2500 0.3859
Tb1 Tb 0.1456 0.7500 0.2892
Tb2 Tb 0.3464 0.0023 0.6932
Y1 Y 0.4837 0.7500 0.9625
```

Output
Energy of formation from the pure elements = 0.334 eV per atom
Total DFT energy (no corrections) = -4.72 eV per atom
ΔE to the lowest computed polymorph = 308 meV/atom
Density = 6.5 g/cm³

***

Computed, not measured: an optimized crystal structure of Eu2PtBr at the PBE level of DFT.

```
data_Eu2PtBr
_chemical_formula_sum 'Eu2 Pt1 Br1'
_cell_length_a 3.6476
_cell_length_b 3.6476
_cell_length_c 7.9775
_cell_angle_alpha 90.00
_cell_angle_beta 90.00
_cell_angle_gamma 90.00
_space_group_name_H-M_alt 'P 4/m m m'
_space_group_IT_number 123
_space_group_name_Hall '-P 4 2'
loop_
_atom_site_label
_atom_site_type_symbol
_atom_site_fract_x
_atom_site_fract_y
_atom_site_fract_z
Eu1 Eu 0.0000 0.0000 0.2171
Pt1 Pt 0.5000 0.5000 0.0000
Br1 Br 0.5000 0.5000 0.5000
```

Output
Total DFT energy (no corrections) = -8.27 eV per atom
Energy relative to the elements, uncorrected = -1.204 eV/atom
ΔE to the lowest computed polymorph = 68 meV/atom
Density = 9.1 g/cm³

***

Per-record total magnetization, μB/f.u.: 0.000 3.477 0.000 0.000 14.420